Compound: Pu5GaRh6
Source: the Alexandria database
Functional: GGA-PBE
Structure: optimized geometry

For the calculated total energy, the calculation gives -10.349 eV/atom. For the volume, the calculation gives 19.13 A^3/atom. The density of states at the Fermi level is 3.460 states/eV per atom.

The space group is Immm (No. 71) and the conventional cell measures 4.6700, 6.6962 and 14.6846 Å, with angles of 90.00, 90.00 and 90.00 degrees. Symmetry generates all atoms from Pu at (0.0000, 0.0000, 0.0000), Pu at (0.0000, 0.0000, 0.3386), Pu at (0.0000, 0.5000, 0.3221), Ga at (0.0000, 0.5000, 0.0000), Rh at (0.0000, 0.2420, 0.5000) and Rh at (0.0000, 0.2601, 0.1469).

***

Compound: NaTl3Sn
Source: the Alexandria database
Functional: GGA-PBE
Structure: optimized geometry

For the calculated total energy, the calculation gives -2.517 eV/atom. For the volume, the calculation gives 29.70 A^3/atom. The density of states at the Fermi level is 0.445 states/eV per atom.

The space group is P2_1/m (No. 11) and the conventional cell measures 5.7504, 6.6939 and 8.1951 Å, with angles of 90.00, 109.72 and 90.00 degrees. Symmetry generates all atoms from Na at (0.0986, 0.2500, 0.2277), Tl at (0.1230, 0.7500, 0.2113), Tl at (0.3101, 0.0003, 0.6212) and Sn at (0.4773, 0.2500, 0.0030).